Below is crystalline Na2Ca2MoO6 at its relaxed geometry, with properties calculated at the PBE+U level.

## Properties
Electronic total energy ... -6.140 eV/atom
V ... 160.0 Å³/cell
SG ... C2/m (12)
Size of the total moment ... 0.00 Bohr magnetons per cell
N(E_F) ... 0.0000 states/eV per atom

Cell and atoms, written as POSCAR:
```
Na2Ca2MoO6
1.0
-4.543 2.060 2.758
0.679 -5.654 -0.251
4.107 1.219 4.003
O Ca Na Mo
6 2 2 1
direct
0.216 0.216 0.301
0.656 0.948 0.304
0.784 0.784 0.699
0.052 0.344 0.696
0.948 0.656 0.304
0.344 0.052 0.696
0.337 0.663 0.500
0.663 0.337 0.500
0.159 0.841 0.000
0.841 0.159 0.000
0.000 0.000 0.500
```